Below is a relaxed structure of P2WBr, with properties calculated at the GGA-PBE level.

Lattice parameters (Å, degrees): 5.1718 3.1534 5.3646 90.00 107.73 90.00
With the nearest neighbours (Å) after each atom.
Space group P2/m (No. 10)
Asymmetric unit:
P 0.1149 0.0000 0.3617 x2  1 P 2.16
W 0.0000 0.5000 0.0000 x1  4 P 2.43, 2 Br 2.59
Br 0.5000 0.5000 0.0000 x1  2 W 2.59

Total magnetic moment in μB/atom: 0.00
Fermi-level density of states in states/eV per cell: 1.75
Total DFT energy (no corrections) in eV for the cell shown: -24.821
Raw formation energy in eV per atom: 0.156

Below is a relaxed structure of PWBr3, with properties calculated at the GGA-PBE level.

Lattice parameters (Å, degrees): 5.1456 5.1456 5.1456 90.00 90.00 90.00
With the nearest neighbours (Å) after each atom.
Space group Pm-3m (No. 221)
Asymmetric unit:
P 0.0000 0.0000 0.0000 x1  6 Br 2.57
W 0.5000 0.5000 0.5000 x1  12 Br 3.64
Br 0.0000 0.0000 0.5000 x3  2 P 2.57

Total magnetic moment in μB/atom: 1.01
Fermi-level density of states in states/eV per cell: 7.81
Total DFT energy (no corrections) in eV for the cell shown: -16.892
Raw formation energy in eV per atom: 1.298

Below is a relaxed structure of P2WBr, with properties calculated at the GGA-PBE level.

Lattice parameters (Å, degrees): 4.2412 3.1165 7.7084 90.00 101.32 90.00
With the nearest neighbours (Å) after each atom.
Space group Pm (No. 6)
Asymmetric unit:
P 0.0000 0.0000 0.0000 x1  2 P 2.23, 2 W 2.34-2.40
P 0.2629 0.5000 0.8785 x1  2 P 2.23
W 0.5571 0.0000 0.1403 x1  2 P 2.34-2.40, 2 Br 2.54
Br 0.6107 0.5000 0.4050 x1  2 W 2.54

Total magnetic moment in μB/atom: 0.00
Fermi-level density of states in states/eV per cell: 2.76
Total DFT energy (no corrections) in eV for the cell shown: -25.081
Raw formation energy in eV per atom: 0.091

Below is a relaxed structure of PW2Br, with properties calculated at the GGA-PBE level.

Lattice parameters (Å, degrees): 8.4501 3.1841 5.2949 90.00 105.65 90.00
With the nearest neighbours (Å) after each atom.
Space group Cm (No. 8)
Asymmetric unit:
P 0.0000 0.0000 0.0000 x2  5 W 2.40-2.43
W 0.0301 0.5000 0.6774 x2  2 P 2.40
W 0.2886 0.0000 0.0302 x2  3 P 2.40-2.43, 2 Br 2.65
Br 0.2744 0.5000 0.4239 x2  5 W 2.65-2.75

Total magnetic moment in μB/atom: 0.00
Fermi-level density of states in states/eV per cell: 3.77
Total DFT energy (no corrections) in eV for the cell shown: -62.271
Raw formation energy in eV per atom: 0.463

> Which value of Fermi-level density of states does entry 4 give?

3.77 states/eV per cell

Copy entry 1 word for word.
Below is a relaxed structure of P2WBr, with properties calculated at the GGA-PBE level.

Lattice parameters (Å, degrees): 5.1718 3.1534 5.3646 90.00 107.73 90.00
With the nearest neighbours (Å) after each atom.
Space group P2/m (No. 10)
Asymmetric unit:
P 0.1149 0.0000 0.3617 x2  1 P 2.16
W 0.0000 0.5000 0.0000 x1  4 P 2.43, 2 Br 2.59
Br 0.5000 0.5000 0.0000 x1  2 W 2.59

Total magnetic moment in μB/atom: 0.00
Fermi-level density of states in states/eV per cell: 1.75
Total DFT energy (no corrections) in eV for the cell shown: -24.821
Raw formation energy in eV per atom: 0.156

> Number 1 is which compound?

P2WBr

> Which formula does entry 2 have?

PWBr3